NaZnHSe, optimized geometry, DFT GGA-PBE; electronic total energy = -23.5 eV for the cell shown; theoretical density = 3.72 g cm⁻³
1.0
1.996 1.153 10.877
-1.996 1.153 10.877
0.000 -2.305 10.877
Na Zn H Se
2 2 2 2
direct
0.000 0.000 0.000
0.500 0.500 0.500
0.242 0.242 0.242
0.758 0.758 0.758
0.192 0.192 0.192
0.808 0.808 0.808
0.394 0.394 0.394
0.606 0.606 0.606

=====

NaZrHSe2, optimized geometry, DFT GGA-PBE; electronic total energy = -24.5 eV for the cell shown; theoretical density = 4.08 g cm⁻³
1.0
5.255 0.000 0.000
0.000 5.255 0.000
0.000 0.000 4.026
Na Zr H Se
1 1 1 2
direct
0.000 0.000 0.000
0.500 0.500 0.500
0.500 0.500 0.000
0.000 0.500 0.500
0.500 0.000 0.500

=====

NaZrH2Se, optimized geometry, DFT GGA-PBE; electronic total energy = -19.3 eV for the cell shown; theoretical density = 3.49 g cm⁻³
1.0
3.909 0.000 0.000
0.000 3.909 0.000
0.000 0.000 6.079
Na Zr H Se
1 1 2 1
direct
0.000 0.000 0.000
0.000 0.000 0.500
0.000 0.500 0.500
0.500 0.000 0.500
0.500 0.500 0.000

=====

Na3SiH8, optimized geometry, DFT GGA-PBE; electronic total energy = -34.8 eV for the cell shown; theoretical density = 1.18 g cm⁻³
1.0
2.262 -4.913 0.000
2.262 4.913 0.000
0.000 0.000 6.642
Na Si H
3 1 8
direct
0.000 0.000 0.000
0.000 0.500 0.725
0.500 0.000 0.275
0.000 0.000 0.500
0.162 0.838 0.500
0.232 0.768 0.000
0.248 0.252 0.673
0.252 0.248 0.327
0.748 0.752 0.327
0.752 0.748 0.673
0.768 0.232 0.000
0.838 0.162 0.500

=====

NaSi3H12, optimized geometry, DFT GGA-PBE; electronic total energy = -113.5 eV for the cell shown; theoretical density = 0.91 g cm⁻³
1.0
3.662 2.114 9.394
-3.662 2.114 9.394
0.000 -4.229 9.394
Na Si H
2 6 24
direct
0.000 0.000 0.000
0.500 0.500 0.500
0.118 0.376 0.844
0.344 0.876 0.618
0.376 0.844 0.118
0.618 0.344 0.876
0.844 0.118 0.376
0.876 0.618 0.344
0.012 0.699 0.102
0.024 0.392 0.437
0.102 0.012 0.699
0.127 0.212 0.856
0.199 0.512 0.602
0.212 0.856 0.127
0.263 0.325 0.892
0.325 0.892 0.263
0.356 0.712 0.627
0.392 0.437 0.024
0.392 0.825 0.763
0.437 0.024 0.392
0.512 0.602 0.199
0.524 0.937 0.892
0.602 0.199 0.512
0.627 0.356 0.712
0.699 0.102 0.012
0.712 0.627 0.356
0.763 0.392 0.825
0.825 0.763 0.392
0.856 0.127 0.212
0.892 0.263 0.325
0.892 0.524 0.937
0.937 0.892 0.524

=====

NaSi3H, optimized geometry, DFT GGA-PBE; offset from the most stable computed form = 1434 meV per atom; theoretical density = 1.43 g cm⁻³
1.0
5.012 0.000 0.000
0.000 5.012 0.000
0.000 0.000 5.012
Na Si H
1 3 1
direct
0.000 0.000 0.000
0.000 0.000 0.500
0.000 0.500 0.000
0.500 0.000 0.000
0.500 0.500 0.500

=====

Na3SiH6, optimized geometry, DFT GGA-PBE; electronic total energy = -60.0 eV for the cell shown; theoretical density = 1.44 g cm⁻³
1.0
5.531 0.000 0.000
0.000 5.527 0.000
-5.291 0.000 7.766
Na Si H
6 2 12
direct
0.000 0.000 0.000
0.000 0.500 0.500
0.263 0.034 0.753
0.263 0.466 0.253
0.737 0.534 0.747
0.737 0.966 0.247
0.500 0.000 0.500
0.500 0.500 0.000
0.210 0.028 0.298
0.210 0.472 0.798
0.305 0.676 0.043
0.305 0.824 0.543
0.387 0.242 0.553
0.387 0.258 0.053
0.613 0.742 0.947
0.613 0.758 0.447
0.695 0.176 0.457
0.695 0.324 0.957
0.790 0.528 0.202
0.790 0.972 0.702

=====

NaSiH3, optimized geometry, DFT GGA-PBE; offset from the most stable computed form = 9 meV per atom; theoretical density = 1.16 g cm⁻³
1.0
4.210 -2.273 0.000
4.210 2.273 0.000
-1.562 0.000 4.056
Na Si H
1 1 3
direct
0.000 0.000 0.000
0.357 0.357 0.444
0.247 0.735 0.491
0.377 0.377 0.813
0.735 0.247 0.491